Below is an optimized crystal structure of Co2TcW, with properties calculated at the PBEsol level.

Lattice parameters (Å, degrees): 3.6613 3.6613 7.3322 90.00 90.00 90.00
With the nearest neighbours (Å) after each atom.
Element x y z (fractional)
Co 0.0000 0.5000 0.2500  4 Co 2.59, 4 Tc 2.59, 4 W 2.59
Co 0.0000 0.5000 0.7500  4 Co 2.59, 4 Tc 2.59, 4 W 2.59
Co 0.5000 0.0000 0.2500  4 Co 2.59, 4 Tc 2.59, 4 W 2.59
Co 0.5000 0.0000 0.7500  4 Co 2.59, 4 Tc 2.59, 4 W 2.59
Tc 0.0000 0.0000 0.0000  4 W 2.59, 8 Co 2.59
Tc 0.5000 0.5000 0.5000  4 W 2.59, 8 Co 2.59
W 0.0000 0.0000 0.5000  4 Tc 2.59, 8 Co 2.59
W 0.5000 0.5000 0.0000  4 Tc 2.59, 8 Co 2.59

Computed properties:
total magnetic moment: 0.00 μB per atom
symmetry: I4/mmm (139)
offset from the most stable computed form: 0.152 eV/f.u.